Crystalline Er4Tm3Al2 at its relaxed geometry, computed with PBE.

The calculated density comes out at 8.32 Mg/m³. The value obtained for the volume is 27.284 Å³ per atom. The calculation puts the calculated formation energy at -1.4 eV/f.u. The calculation puts the total magnetic moment at 0.0 μB/f.u. For the density of states at the Fermi level, the calculation gives 0.934 states/eV per atom.

It has space group C2/m (No. 12), with a = 12.213 Å, b = 5.131 Å, c = 8.124 Å, α = 90.00°, β = 105.24° and γ = 90.00°. The asymmetric unit holds Er at (0.129, 0.000, 0.152), Er at (0.168, 0.500, 0.463), Tm at (0.000, 0.000, 0.500), Tm at (0.083, 0.500, 0.848) and Al at (0.214, 0.000, 0.816).